Compound: Bi3SI
Source: Alexandria
Functional: meta-GGA SCAN
Structure: single point on PBEsol structure

Computed properties:
- M_tot: 0.00 μB/f.u.
- DOS at the Fermi energy: 0.9436 states/eV per atom
- SG: Pm-3m
- ΔE_f (raw): 54.4 kJ per mole of atoms

Unit cell a=5.4044 b=5.4044 c=5.4044 alpha=90.00 beta=90.00 gamma=90.00
Closest atoms and distances in Å follow each position.
Element x y z (fractional)
Bi 0.0000 0.0000 0.5000  2 S 2.70
Bi 0.0000 0.5000 0.0000  2 S 2.70
Bi 0.5000 0.0000 0.0000  2 S 2.70
S 0.0000 0.0000 0.0000  6 Bi 2.70
I 0.5000 0.5000 0.5000  12 Bi 3.82

Compound: NaCaAu2
Source: Alexandria
Functional: meta-GGA SCAN
Structure: single point on PBEsol structure

Computed properties:
- M_tot: 0.00 μB/f.u.
- DOS at the Fermi energy: 0.2511 states/eV per atom
- ΔH_f (0 K): -0.706 eV per atom
- SG: Fm-3m

Unit cell a=4.9541 b=4.9541 c=4.9541 alpha=60.00 beta=60.00 gamma=60.00
Closest atoms and distances in Å follow each position.
Element x y z (fractional)
Na 0.0000 0.0000 0.0000  8 Au 3.03
Ca 0.5000 0.5000 0.5000  8 Au 3.03
Au 0.2500 0.2500 0.2500  4 Na 3.03, 4 Ca 3.03
Au 0.7500 0.7500 0.7500  4 Ca 3.03, 4 Na 3.03